An optimized crystal structure of PtAu2. Source: the Alexandria database, functional PBEsol.

Cell lengths 4.5202, 4.5202, 2.7633 Å; angles 90.00, 90.00, 120.00 degrees
Closest atoms and distances in Å follow each position.
Element x y z (fractional)
1 Pt 0.0000 0.0000 0.0000  2 Pt 2.76, 6 Au 2.77
2 Au 0.3333 0.6667 0.3389  5 Au 2.76, 3 Pt 2.77
3 Au 0.6667 0.3333 0.6611  5 Au 2.76, 3 Pt 2.77

**Space-group type**: P-3m1, No. 164
**Formation energy from the elements**: 0.098 eV/atom
**Relative energy among the computed polymorphs**: 0.186 eV per formula unit

---

An optimized crystal structure of SrFeBr. Source: the Alexandria database, functional PBEsol.

Cell lengths 3.8338, 3.8338, 6.1463 Å; angles 90.00, 90.00, 120.00 degrees
Closest atoms and distances in Å follow each position.
Element x y z (fractional)
1 Sr 0.0000 0.0000 0.0000  3 Br 3.15, 3 Fe 3.18
2 Fe 0.6667 0.3333 0.3711  3 Br 2.74
3 Br 0.3333 0.6667 0.6345  3 Fe 2.74

**Formation energy (no corrections)**: 8 kJ per mole of atoms
**Space-group type**: P3m1, No. 156

---

Number 1: raw total energy -4.839 eV/atom. Number 2: raw total energy -4.144 eV/atom.